Computed, not measured: an optimized crystal structure of NdScZnCu at the PBE level of DFT.

Lattice parameters (Å, degrees): 4.934 4.934 4.934 60.00 60.00 60.00
Fractional coordinates of all 4 atoms:
Nd 0.000 0.000 0.000
Sc 0.500 0.500 0.500
Zn 0.750 0.750 0.750
Cu 0.250 0.250 0.250

Results
Crystal system: cubic
Calculated formation energy: -0.222 eV/atom
D(E_F): 3.0 states/eV/f.u.